1.
A plane-wave DFT calculation with PBE+U was carried out for a relaxed K2TiCoO4 crystal.

Values from the calculation:
- Crystal system: orthorhombic
- Total DFT energy (no corrections): -6.307 eV/atom

Cell lengths 5.073, 6.497, 10.230 Å; angles 84.45, 75.64, 67.02 degrees
Last column: magnetic moment on the atom in μB.
Fractional positions:
Ti (0.250, 0.500, 0.500)  -0.04
Ti (0.500, 0.000, 0.000)  -0.04
O (0.307, 0.824, 0.096)  0.08
O (0.227, 0.176, 0.904)  0.08
O (0.443, 0.676, 0.404)  0.08
O (0.881, 0.676, 0.596)  0.08
O (0.523, 0.324, 0.596)  0.08
O (0.153, 0.324, 0.404)  0.08
O (0.597, 0.176, 0.096)  0.08
O (0.869, 0.824, 0.904)  0.08
K (0.924, 0.500, 0.151)  0.00
K (0.174, 0.000, 0.651)  0.00
K (0.826, 0.000, 0.349)  0.00
K (0.576, 0.500, 0.849)  0.00
Co (0.000, 0.000, 0.000)  2.54
Co (0.750, 0.500, 0.500)  2.54

2.
A plane-wave DFT calculation with PBE+U was carried out for a relaxed K3Tl3CoO8 crystal.

Values from the calculation:
- Crystal system: trigonal
- Total DFT energy (no corrections): -4.633 eV/atom

Cell lengths 6.707, 6.711, 7.357 Å; angles 117.13, 90.00, 119.98 degrees
Last column: magnetic moment on the atom in μB.
Fractional positions:
K (0.000, 0.000, 0.000)  0.00
K (0.000, 0.500, 0.000)  0.00
K (0.500, 0.500, 0.000)  0.00
O (0.802, 0.027, 0.329)  -0.04
O (0.774, 0.973, 0.671)  -0.04
O (0.733, 0.465, 0.697)  0.03
O (0.267, 0.535, 0.303)  0.03
O (0.802, 0.604, 0.329)  -0.04
O (0.226, 0.027, 0.329)  -0.04
O (0.198, 0.973, 0.671)  -0.04
O (0.198, 0.396, 0.671)  -0.04
Co (0.000, 0.000, 0.500)  1.21
Tl (0.000, 0.500, 0.500)  0.00
Tl (0.500, 0.500, 0.500)  0.00
Tl (0.500, 0.000, 0.500)  0.00

3.
A plane-wave DFT calculation with PBE+U was carried out for a relaxed K2TlCoO2 crystal.

Values from the calculation:
- Crystal system: orthorhombic
- Total DFT energy (no corrections): -4.146 eV/atom

Cell lengths 4.693, 4.700, 11.986 Å; angles 90.00, 90.00, 90.00 degrees
Last column: magnetic moment on the atom in μB.
Fractional positions:
O (0.000, 0.012, 0.147)  0.09
O (0.500, 0.512, 0.353)  0.09
O (0.000, 0.988, 0.853)  0.09
O (0.500, 0.488, 0.647)  0.09
K (0.000, 0.490, 0.750)  0.00
K (0.500, 0.010, 0.250)  0.00
K (0.000, 0.510, 0.250)  0.00
K (0.500, 0.990, 0.750)  0.00
Co (0.500, 0.500, 0.500)  2.00
Co (0.000, 0.000, 0.000)  2.00
Tl (0.500, 0.500, 0.000)  -0.06
Tl (0.000, 0.000, 0.500)  -0.06

4.
A plane-wave DFT calculation with PBE+U was carried out for a relaxed K3Tm2CoO6 crystal.

Values from the calculation:
- Crystal system: monoclinic
- Total DFT energy (no corrections): -6.116 eV/atom

Cell lengths 5.724, 5.724, 6.498 Å; angles 98.64, 98.64, 119.34 degrees
Last column: magnetic moment on the atom in μB.
Fractional positions:
O (0.626, 0.939, 0.821)  0.12
O (0.374, 0.061, 0.179)  0.12
O (0.735, 0.735, 0.186)  0.11
O (0.061, 0.374, 0.179)  0.12
O (0.939, 0.626, 0.821)  0.12
O (0.265, 0.265, 0.814)  0.11
K (0.500, 0.500, 0.500)  0.00
K (0.837, 0.163, 0.500)  0.00
K (0.163, 0.837, 0.500)  0.00
Tm (0.666, 0.334, 0.000)  0.01
Tm (0.334, 0.666, 0.000)  0.01
Co (0.000, 0.000, 0.000)  3.03

Repeat the third record exactly.
A plane-wave DFT calculation with PBE+U was carried out for a relaxed K2TlCoO2 crystal.

Values from the calculation:
- Crystal system: orthorhombic
- Total DFT energy (no corrections): -4.146 eV/atom

Cell lengths 4.693, 4.700, 11.986 Å; angles 90.00, 90.00, 90.00 degrees
Last column: magnetic moment on the atom in μB.
Fractional positions:
O (0.000, 0.012, 0.147)  0.09
O (0.500, 0.512, 0.353)  0.09
O (0.000, 0.988, 0.853)  0.09
O (0.500, 0.488, 0.647)  0.09
K (0.000, 0.490, 0.750)  0.00
K (0.500, 0.010, 0.250)  0.00
K (0.000, 0.510, 0.250)  0.00
K (0.500, 0.990, 0.750)  0.00
Co (0.500, 0.500, 0.500)  2.00
Co (0.000, 0.000, 0.000)  2.00
Tl (0.500, 0.500, 0.000)  -0.06
Tl (0.000, 0.000, 0.500)  -0.06